Computed, not measured: an optimized crystal structure of Cd2Ge2Sb at the GGA-PBEsol level of DFT.

Summary:
total moment = 0.00 μB/cell
Fermi-level density of states = 2.1 states/eV/f.u.
ΔE_f (raw) = 208 meV/atom
calculated total energy = -3.158 eV per atom

Geometry as extended XYZ:
```
5
Lattice="3.717 0.000 0.000 0.000 3.717 0.000 -1.858 -1.858 8.043" Properties=species:S:1:pos:R:3 pbc="T T T"
Sb 0.000 0.000 0.000
Ge 0.000 1.858 4.022
Ge 1.858 0.000 4.022
Cd 0.000 0.000 6.404
Cd 1.858 1.858 1.640
```

---

Computed, not measured: an optimized crystal structure of LiMg2Ni2 at the GGA-PBEsol level of DFT.

Summary:
total moment = 0.00 μB/cell
Fermi-level density of states = 2.0 states/eV/f.u.
energy of formation from the pure elements = -0.0263 eV per atom
calculated total energy = -3.569 eV per atom

Geometry as extended XYZ:
```
10
Lattice="-2.207 0.381 1.756 4.244 -1.529 5.664 1.702 7.011 0.618" Properties=species:S:1:pos:R:3 pbc="T T T"
Ni 3.119 5.596 2.705
Ni 4.794 2.988 5.375
Ni 2.827 -0.115 3.577
Ni 1.152 2.493 0.907
Mg 0.789 4.655 2.286
Mg 3.166 4.942 5.211
Mg 2.951 1.207 5.752
Mg 0.574 0.920 2.827
Li 0.000 0.000 0.000
Li 2.973 2.741 3.141
```